[1]
{"formula": "ThAsH", "functional": "GGA-PBE", "state": "optimized geometry", "e_tot_ev_per_atom": -5.774, "crystal_system": "tetragonal", "lattice": [[4.056, -0.006, 0.001], [0.005, 4.056, 0.001], [2.025, 2.020, 7.113]], "species": ["Th", "Th", "H", "As", "As", "H"], "frac_coords": [[0.558, 0.498, 0.801], [0.250, 0.191, 0.416], [0.154, 0.595, 0.608], [0.904, 0.344, 0.108], [0.404, 0.844, 0.108], [0.654, 0.094, 0.609]]}

=====

[2]
{"formula": "Th2AsH", "functional": "GGA-PBE", "state": "optimized geometry", "e_tot_ev_per_atom": -6.249, "crystal_system": "trigonal", "lattice": [[-3.497, -1.682, -0.450], [-0.655, -3.565, 1.458], [-3.676, 1.299, 6.759]], "species": ["As", "H", "Th", "Th"], "frac_coords": [[0.682, 0.682, 0.954], [0.455, 0.455, 0.636], [0.264, 0.264, 0.208], [0.099, 0.099, 0.702]]}

=====

Number 1 is which compound?
ThAsH